Entry 1:
Dy2TiAl | GGA-PBE | optimized geometry

Cell: 3.3894 3.3894 8.3004 Å, 90.00 90.00 90.00°
Closest atoms and distances in Å follow each position.
Space group P4/mmm (No. 123)
One atom of each set of equivalent atoms:
Dy  0.0000  0.0000  0.2436  4 Al 3.14, 4 Ti 3.21, 4 Dy 3.39
Ti  0.5000  0.5000  0.5000  8 Dy 3.21, 4 Ti 3.39
Al  0.5000  0.5000  0.0000  8 Dy 3.14, 4 Al 3.39

## Properties
- crystal system = tetragonal
- DOS(E_F) (states/eV per cell) = 3.0

=====

Entry 2:
Tm4Th | GGA-PBE | optimized geometry

Cell: 5.7258 5.7258 5.7258 Å, 90.00 90.00 90.00°
Closest atoms and distances in Å follow each position.
Space group Pm-3m (No. 221)
One atom of each set of equivalent atoms:
Tm  0.0000  0.0000  0.0000  12 Tm 4.05
Tm  0.0000  0.5000  0.5000  2 Th 2.86
Th  0.5000  0.5000  0.5000  6 Tm 2.86

## Properties
- crystal system = cubic
- DOS(E_F) (states/eV per cell) = 5.8

=====

Energy relative to the elements values, unit eV/atom, following the record order: -0.056 0.950.